Record 1
LiY2Pt | SCAN | single point on PBEsol structure

spin magnetization: 0.00 μB per formula unit
offset from the most stable computed form: 298 meV/atom

a = 4.7958 Å, b = 4.7958 Å, c = 4.7958 Å
α = 60.00°, β = 60.00°, γ = 60.00°
Atoms (fractional coordinates):
Pt (0.2500, 0.2500, 0.2500)
Li (0.5000, 0.5000, 0.5000)
Y (0.7500, 0.7500, 0.7500)
Y (0.0000, 0.0000, 0.0000)

***

Record 2
LiY2Pt | SCAN | single point on PBEsol structure

spin magnetization: 0.17 μB per formula unit
offset from the most stable computed form: 83 meV/atom

a = 3.7738 Å, b = 4.4761 Å, c = 5.5734 Å
α = 90.00°, β = 109.79°, γ = 90.00°
Atoms (fractional coordinates):
Y (0.3914, 0.5000, 0.7827)
Y (0.1103, 0.0000, 0.2205)
Pt (0.6798, 0.5000, 0.3595)
Li (0.8197, 0.0000, 0.6395)

***

Record 3
LiY2Pt | SCAN | single point on PBEsol structure

spin magnetization: 0.00 μB per formula unit
offset from the most stable computed form: 0 meV/atom

a = 4.9190 Å, b = 4.9190 Å, c = 4.9190 Å
α = 60.00°, β = 60.00°, γ = 60.00°
Atoms (fractional coordinates):
Pt (0.5000, 0.5000, 0.5000)
Y (0.2500, 0.2500, 0.2500)
Li (0.0000, 0.0000, 0.0000)
Y (0.7500, 0.7500, 0.7500)

***

Record 4
LiYPt | SCAN | single point on PBEsol structure

spin magnetization: 0.00 μB per formula unit

a = 3.6694 Å, b = 4.2144 Å, c = 4.2144 Å
α = 120.00°, β = 90.00°, γ = 90.00°
Atoms (fractional coordinates):
Pt (0.0000, 0.3333, 0.6667)
Y (0.5000, 0.6667, 0.3333)
Li (0.0000, 0.0000, 0.0000)

***

ΔE_f readings, ordered: -0.52; -0.74; -0.82; -0.91 eV per atom